Below is a geometry-optimized RbV2Br structure, with properties calculated at the PBE level.

abc: 4.7132 4.7132 19.5570
angles: 90.00 90.00 90.00
Last column: nearest neighbours and their distance in Å.
Space group I4_1/amd (No. 141, origin choice 2)
Symmetry-distinct sites (fractional):
Rb1 0.0000 0.2500 0.3750 [4 per cell]  4 Br 3.33, 8 V 3.59
V1 0.0000 0.0000 0.0000 [8 per cell]  2 V 2.36
Br1 0.0000 0.2500 0.8750 [4 per cell]  4 V 2.71

Properties
**Energy relative to the lowest polymorph listed for this composition**: 0 meV per atom
**Formation energy from raw total energies**: 0.91 eV per atom
**M_tot**: 11.36 μB/cell

=====

Below is a geometry-optimized RbVBr3 structure, with properties calculated at the PBE level.

abc: 5.3273 5.3273 5.3273
angles: 90.00 90.00 90.00
Last column: nearest neighbours and their distance in Å.
Space group Pm-3m (No. 221)
Symmetry-distinct sites (fractional):
Rb1 0.0000 0.0000 0.0000 [1 per cell]  12 Br 3.77
V1 0.5000 0.5000 0.5000 [1 per cell]  6 Br 2.66
Br1 0.0000 0.5000 0.5000 [3 per cell]  2 V 2.66

Properties
**Energy relative to the lowest polymorph listed for this composition**: 91 meV per atom
**Formation energy from raw total energies**: -1.11 eV per atom
**M_tot**: 3.00 μB/cell

=====

Below is a geometry-optimized RbV2Br structure, with properties calculated at the PBE level.

abc: 7.7042 7.7042 7.7042
angles: 90.00 90.00 90.00
Last column: nearest neighbours and their distance in Å.
Space group Fm-3m (No. 225)
Symmetry-distinct sites (fractional):
Rb1 0.0000 0.0000 0.0000 [4 per cell]  8 V 3.34
V1 0.2500 0.2500 0.2500 [8 per cell]  4 Rb 3.34, 4 Br 3.34
Br1 0.0000 0.0000 0.5000 [4 per cell]  8 V 3.34

Properties
**Energy relative to the lowest polymorph listed for this composition**: 453 meV per atom
**Formation energy from raw total energies**: 1.36 eV per atom
**M_tot**: 37.76 μB/cell

=====

Below is a geometry-optimized Rb4VBr6 structure, with properties calculated at the PBE level.

abc: 9.3721 9.3721 9.7994
angles: 90.00 90.00 90.00
Last column: nearest neighbours and their distance in Å.
Space group P4/mnc (No. 128)
Symmetry-distinct sites (fractional):
Rb1 0.1779 0.3221 0.2500 [8 per cell]  6 Br 3.46-3.47
V1 0.0000 0.0000 0.0000 [2 per cell]  6 Br 2.67-2.72
Br1 0.0000 0.0000 0.2722 [4 per cell]  1 V 2.67
Br2 0.0804 0.7206 0.0000 [8 per cell]  1 V 2.72

Properties
**Formation energy from raw total energies**: -1.47 eV per atom
**M_tot**: 6.00 μB/cell

=====

Below is a geometry-optimized RbVBr3 structure, with properties calculated at the PBE level.

abc: 9.1106 3.8892 16.1577
angles: 90.00 90.00 90.00
Last column: nearest neighbours and their distance in Å.
Space group Pnma (No. 62)
Symmetry-distinct sites (fractional):
Rb1 0.0574 0.2500 0.1669 [4 per cell]  9 Br 3.45-3.78
V1 0.1062 0.7500 0.4575 [4 per cell]  6 Br 2.48-2.72
Br1 0.0414 0.7500 0.6067 [4 per cell]  3 V 2.48-2.58
Br2 0.2023 0.7500 0.9969 [4 per cell]  2 V 2.69
Br3 0.2475 0.7500 0.3093 [4 per cell]  1 V 2.72

Properties
**Energy relative to the lowest polymorph listed for this composition**: 171 meV per atom
**Formation energy from raw total energies**: -1.02 eV per atom
**M_tot**: 3.94 μB/cell

=====

Below is a geometry-optimized RbV3Br structure, with properties calculated at the PBE level.

abc: 4.9261 4.9261 4.9261
angles: 90.00 90.00 90.00
Last column: nearest neighbours and their distance in Å.
Space group Pm-3m (No. 221)
Symmetry-distinct sites (fractional):
Rb1 0.0000 0.0000 0.0000 [1 per cell]  12 V 3.48
V1 0.0000 0.5000 0.5000 [3 per cell]  2 Br 2.46
Br1 0.5000 0.5000 0.5000 [1 per cell]  6 V 2.46

Properties
**Energy relative to the lowest polymorph listed for this composition**: 0 meV per atom
**Formation energy from raw total energies**: 1.53 eV per atom
**M_tot**: 8.03 μB/cell

=====

Below is a geometry-optimized Rb3VBr8 structure, with properties calculated at the PBE level.

abc: 7.7537 7.7537 15.2180
angles: 90.00 90.00 90.00
Last column: nearest neighbours and their distance in Å.
Space group I4/mmm (No. 139)
Symmetry-distinct sites (fractional):
Rb1 0.0000 0.0000 0.0000 [2 per cell]  8 Br 3.58
Rb2 0.0000 0.5000 0.2500 [4 per cell]  8 Br 3.54
V1 0.0000 0.0000 0.5000 [2 per cell]  8 Br 2.79
Br1 0.2079 0.2079 0.3943 [16 per cell]  1 V 2.79

Properties
**Formation energy from raw total energies**: -0.91 eV per atom
**M_tot**: 2.26 μB/cell

=====

Below is a geometry-optimized Rb3V2Br9 structure, with properties calculated at the PBE level.

abc: 7.5777 7.5777 19.0602
angles: 90.00 90.00 120.00
Last column: nearest neighbours and their distance in Å.
Space group P6_3/mmc (No. 194)
Symmetry-distinct sites (fractional):
Rb1 0.0000 0.0000 0.2500 [2 per cell]  12 Br 3.76-3.79
Rb2 0.3333 0.6667 0.0632 [4 per cell]  9 Br 3.64-3.83
V1 0.3333 0.6667 0.6656 [4 per cell]  6 Br 2.50-2.61
Br1 0.0205 0.5103 0.7500 [6 per cell]  2 V 2.61
Br2 0.1744 0.3488 0.5933 [12 per cell]  1 V 2.50

Properties
**Energy relative to the lowest polymorph listed for this composition**: 0 meV per atom
**Formation energy from raw total energies**: -1.28 eV per atom
**M_tot**: 8.00 μB/cell

=====

Below is a geometry-optimized RbVBr3 structure, with properties calculated at the PBE level.

abc: 6.5865 7.5303 7.5444
angles: 119.93 95.95 90.06
Last column: nearest neighbours and their distance in Å.
Space group P-1 (No. 2)
Symmetry-distinct sites (fractional):
Rb1 0.2439 0.1652 0.3302 [2 per cell]  9 Br 3.61-3.80
V1 0.0000 0.5000 0.0000 [1 per cell]  6 Br 2.64-2.65
V2 0.5000 0.5000 0.0000 [1 per cell]  6 Br 2.64-2.65
Br1 0.2297 0.1816 0.8396 [2 per cell]  2 V 2.64-2.65
Br2 0.2304 0.6585 0.8399 [2 per cell]  2 V 2.65
Br3 0.2890 0.6593 0.3191 [2 per cell]  2 V 2.64-2.65

Properties
**Energy relative to the lowest polymorph listed for this composition**: 1 meV per atom
**Formation energy from raw total energies**: -1.20 eV per atom
**M_tot**: 6.00 μB/cell

=====

Below is a geometry-optimized RbVBr2 structure, with properties calculated at the PBE level.

abc: 7.7174 7.7174 7.7174
angles: 90.00 90.00 90.00
Last column: nearest neighbours and their distance in Å.
Space group Fm-3m (No. 225)
Symmetry-distinct sites (fractional):
Rb1 0.0000 0.0000 0.0000 [4 per cell]  8 Br 3.34
V1 0.0000 0.0000 0.5000 [4 per cell]  8 Br 3.34
Br1 0.2500 0.2500 0.2500 [8 per cell]  4 Rb 3.34, 4 V 3.34

Properties
**Energy relative to the lowest polymorph listed for this composition**: 271 meV per atom
**Formation energy from raw total energies**: -0.33 eV per atom
**M_tot**: 16.00 μB/cell

=====

Below is a geometry-optimized Rb2VBr4 structure, with properties calculated at the PBE level.

abc: 5.3194 5.3194 17.1432
angles: 90.00 90.00 90.00
Last column: nearest neighbours and their distance in Å.
Space group I4/mmm (No. 139)
Symmetry-distinct sites (fractional):
Rb1 0.0000 0.0000 0.1413 [4 per cell]  9 Br 3.49-3.77
V1 0.0000 0.0000 0.5000 [2 per cell]  6 Br 2.66
Br1 0.0000 0.0000 0.3449 [4 per cell]  1 V 2.66
Br2 0.0000 0.5000 0.0000 [4 per cell]  2 V 2.66

Properties
**Formation energy from raw total energies**: -1.32 eV per atom
**M_tot**: 6.00 μB/cell

=====

Below is a geometry-optimized RbVBr3 structure, with properties calculated at the PBE level.

abc: 6.1715 6.1715 6.1715
angles: 90.00 90.00 90.00
Last column: nearest neighbours and their distance in Å.
Space group Pm-3m (No. 221)
Symmetry-distinct sites (fractional):
Rb1 0.0000 0.0000 0.0000 [1 per cell]  6 Br 3.09
V1 0.5000 0.5000 0.5000 [1 per cell]  12 Br 4.36
Br1 0.0000 0.0000 0.5000 [3 per cell]  2 Rb 3.09

Properties
**Energy relative to the lowest polymorph listed for this composition**: 1452 meV per atom
**Formation energy from raw total energies**: 0.26 eV per atom
**M_tot**: 2.94 μB/cell